# PBE-GGA HfAlB2, optimized geometry
# ΔH_f (0 K) in eV/atom: 0.422
# Magnetic moment in μB per atom: 0.000
data_HfAlB2
_chemical_formula_sum 'Hf4 Al4 B8'
_symmetry_space_group_name_H-M 'I -4 2 d'
_symmetry_Int_Tables_number 122
_symmetry_space_group_name_Hall 'I -4 2bw'
_cell_length_a 4.054
_cell_length_b 4.054
_cell_length_c 13.467
_cell_angle_alpha 90.00
_cell_angle_beta 90.00
_cell_angle_gamma 90.00
loop_
_atom_site_label
_atom_site_type_symbol
_atom_site_fract_x
_atom_site_fract_y
_atom_site_fract_z
_atom_site_occupancy
Hf1 Hf 0.000 0.000 0.000 1
Al1 Al 0.000 0.000 0.500 1
B1 B 0.118 0.250 0.625 1